! ThIn (GGA-PBE, optimized geometry); values from VASP
&SYSTEM
  ibrav = 0, nat = 4, ntyp = 2
/
ATOMIC_SPECIES
Th 232.04 Th.upf
In 114.82 In.upf
CELL_PARAMETERS angstrom
4.6161 0.0000 0.0000
0.0000 4.4345 0.0000
-2.3020 0.0000 5.9342
ATOMIC_POSITIONS angstrom
Th -0.0013 1.1086 1.6981
Th 2.3154 3.3258 4.2361
In 0.0074 1.1086 4.9737
In 2.3067 3.3258 0.9606
! N(E_F), states/eV per atom: 1.2856
! E, Ry per atom: -0.391
! Symmetry: No. 11